1.
Entry from the Alexandria database: a relaxed structure of Ca4InGaHg2 (PBE).

Properties
As for the energy relative to the elements: -0.50 eV/atom. For the spin magnetization, the calculation gives 0.00 μB/f.u. As for the total energy: -2.30 eV per atom.

```
data_Ca4InGaHg2
_chemical_formula_sum 'Ca4 In1 Ga1 Hg2'
_cell_length_a 9.270
_cell_length_b 9.270
_cell_length_c 9.270
_cell_angle_alpha 33.59
_cell_angle_beta 33.59
_cell_angle_gamma 33.59
_symmetry_space_group_name_H-M 'P 1'
_symmetry_Int_Tables_number 1
_symmetry_space_group_name_Hall 'P 1'
loop_
_atom_site_label
_atom_site_fract_x
_atom_site_fract_y
_atom_site_fract_z
_atom_site_occupancy
Ca1 0.122 0.122 0.122 1
Ca2 0.372 0.372 0.372 1
Ca3 0.628 0.628 0.628 1
Ca4 0.878 0.878 0.878 1
In1 0.500 0.500 0.500 1
Ga1 0.000 0.000 0.000 1
Hg1 0.248 0.248 0.248 1
Hg2 0.752 0.752 0.752 1
```

***

2.
Entry from the Alexandria database: a relaxed structure of CsPrP (PBE).

Properties
As for the energy relative to the elements: -0.70 eV/atom. For the spin magnetization, the calculation gives 0.00 μB/f.u. As for the total energy: -4.38 eV per atom.

```
data_CsPrP
_chemical_formula_sum 'Cs2 Pr2 P2'
_cell_length_a 13.950
_cell_length_b 13.950
_cell_length_c 13.950
_cell_angle_alpha 20.32
_cell_angle_beta 20.32
_cell_angle_gamma 20.32
_symmetry_space_group_name_H-M 'P 1'
_symmetry_Int_Tables_number 1
_symmetry_space_group_name_Hall 'P 1'
loop_
_atom_site_label
_atom_site_fract_x
_atom_site_fract_y
_atom_site_fract_z
_atom_site_occupancy
Cs1 0.109 0.109 0.109 1
Cs2 0.891 0.891 0.891 1
Pr1 0.303 0.303 0.303 1
Pr2 0.697 0.697 0.697 1
P1 0.375 0.375 0.375 1
P2 0.625 0.625 0.625 1
```

***

3.
Entry from the Alexandria database: a relaxed structure of Cu2SbW (PBE).

Properties
For the spin magnetization, the calculation gives 0.00 μB/f.u. As for the total energy: -5.88 eV per atom. For the uncorrected formation energy, the calculation gives 0.4408 eV per atom.

```
data_Cu2SbW
_chemical_formula_sum 'Cu4 Sb2 W2'
_cell_length_a 10.007
_cell_length_b 2.921
_cell_length_c 4.833
_cell_angle_alpha 90.00
_cell_angle_beta 116.31
_cell_angle_gamma 90.00
_symmetry_space_group_name_H-M 'P 1'
_symmetry_Int_Tables_number 1
_symmetry_space_group_name_Hall 'P 1'
loop_
_atom_site_label
_atom_site_fract_x
_atom_site_fract_y
_atom_site_fract_z
_atom_site_occupancy
Cu1 0.000 0.000 0.000 1
Cu2 0.237 0.500 0.077 1
Cu3 0.500 0.500 0.000 1
Cu4 0.737 0.000 0.077 1
Sb1 0.232 0.000 0.592 1
Sb2 0.732 0.500 0.592 1
W1 0.474 0.000 0.483 1
W2 0.974 0.500 0.483 1
```